[1]
! Ag2AsSe, optimized geometry, DFT PBE-GGA; values from VASP
&SYSTEM
  ibrav = 0, nat = 4, ntyp = 3
/
ATOMIC_SPECIES
As 74.92 As.upf
Se 78.96 Se.upf
Ag 107.87 Ag.upf
ATOMIC_POSITIONS crystal
As 0.000 0.713 0.449
Se 0.500 0.543 0.788
Ag 0.000 0.933 0.011
Ag 0.500 0.311 0.252
CELL_PARAMETERS angstrom
-1.919 -0.362 3.571
1.232 -2.574 0.401
5.851 1.685 3.316
! Density of states at the Fermi level, states/eV/f.u.: 1.3
! Formation energy from raw total energies, eV per atom: 0.114
! E, eV/f.u.: -13.4

[2]
! CsMgAgSb, optimized geometry, DFT PBE-GGA; values from VASP
&SYSTEM
  ibrav = 0, nat = 8, ntyp = 4
/
ATOMIC_SPECIES
Cs 132.91 Cs.upf
Mg 24.30 Mg.upf
Ag 107.87 Ag.upf
Sb 121.76 Sb.upf
ATOMIC_POSITIONS crystal
Cs 0.750 0.750 0.276
Cs 0.250 0.250 0.724
Mg 0.750 0.250 0.000
Mg 0.250 0.750 0.000
Ag 0.250 0.750 0.500
Ag 0.750 0.250 0.500
Sb 0.750 0.750 0.875
Sb 0.250 0.250 0.125
CELL_PARAMETERS angstrom
4.430 0.000 0.000
0.000 4.430 0.000
0.000 0.000 14.723
! Density of states at the Fermi level, states/eV/f.u.: 0.9
! Formation energy from raw total energies, eV per atom: -0.216
! E, eV/f.u.: -10.3

[3]
! TaAsOs3, optimized geometry, DFT PBE-GGA; values from VASP
&SYSTEM
  ibrav = 0, nat = 5, ntyp = 3
/
ATOMIC_SPECIES
As 74.92 As.upf
Os 190.23 Os.upf
Ta 180.95 Ta.upf
ATOMIC_POSITIONS crystal
As 0.500 0.500 0.500
Os 0.000 0.500 0.000
Os 0.000 0.000 0.500
Os 0.500 0.000 0.000
Ta 0.000 0.000 0.000
CELL_PARAMETERS angstrom
-3.275 -3.445 0.237
2.843 -2.876 -2.509
1.959 -1.585 4.037
! Calculated formation energy, kJ per mole of atoms: 220.9
! Polymorph energy (0 for the lowest one), kJ/mol of atoms: 82.2
! Density of states at the Fermi level, states/eV/f.u.: 5.8
! E, eV/f.u.: -38.7

[4]
! Ti2SeS3, optimized geometry, DFT PBE-GGA; values from VASP
&SYSTEM
  ibrav = 0, nat = 12, ntyp = 3
/
ATOMIC_SPECIES
Ti 47.87 Ti.upf
Se 78.96 Se.upf
S 32.06 S.upf
ATOMIC_POSITIONS crystal
Ti 0.500 0.820 0.180
Ti 0.000 0.691 0.309
Ti 0.000 0.309 0.691
Ti 0.500 0.180 0.820
Se 0.179 0.413 0.413
Se 0.821 0.587 0.587
S 0.749 0.473 0.023
S 0.749 0.023 0.473
S 0.251 0.527 0.977
S 0.652 0.892 0.892
S 0.348 0.108 0.108
S 0.251 0.977 0.527
CELL_PARAMETERS angstrom
-0.804 3.152 -5.688
3.271 -4.855 -3.268
-6.664 -0.436 0.586
! Polymorph energy (0 for the lowest one), kJ/mol of atoms: 27.3
! Density of states at the Fermi level, states/eV/f.u.: 4.5
! Formation energy from raw total energies, eV per atom: -0.955
! E, eV/f.u.: -37.4

[5]
! AlCuHgPb2, optimized geometry, DFT PBE-GGA; values from VASP
&SYSTEM
  ibrav = 0, nat = 5, ntyp = 4
/
ATOMIC_SPECIES
Pb 207.20 Pb.upf
Hg 200.59 Hg.upf
Cu 63.55 Cu.upf
Al 26.98 Al.upf
ATOMIC_POSITIONS crystal
Pb 0.000 0.000 0.500
Pb 0.500 0.000 0.000
Hg 0.500 0.500 0.500
Cu 0.000 0.000 0.000
Al 0.000 0.500 0.000
CELL_PARAMETERS angstrom
5.379 0.000 0.000
0.000 4.647 0.000
0.000 0.000 5.379
! Calculated formation energy, kJ per mole of atoms: 24.7
! Density of states at the Fermi level, states/eV/f.u.: 3.0
! E, eV/f.u.: -14.3

[6]
! MgMo2W, optimized geometry, DFT PBE-GGA; values from VASP
&SYSTEM
  ibrav = 0, nat = 4, ntyp = 3
/
ATOMIC_SPECIES
Mg 24.30 Mg.upf
Mo 95.94 Mo.upf
W 183.84 W.upf
ATOMIC_POSITIONS crystal
Mg 0.000 0.500 0.500
Mo 0.000 0.000 0.000
Mo 0.500 0.500 0.000
W 0.500 0.000 0.500
CELL_PARAMETERS angstrom
-1.319 2.982 1.131
-1.905 0.630 -3.883
-3.503 -2.074 1.383
! Calculated formation energy, kJ per mole of atoms: 43.0
! Density of states at the Fermi level, states/eV/f.u.: 3.1
! E, eV/f.u.: -34.4

[7]
! PmThTcAu, optimized geometry, DFT PBE-GGA; values from VASP
&SYSTEM
  ibrav = 0, nat = 4, ntyp = 4
/
ATOMIC_SPECIES
Au 196.97 Au.upf
Tc 98.00 Tc.upf
Th 232.04 Th.upf
Pm 145.00 Pm.upf
ATOMIC_POSITIONS crystal
Au 0.000 0.000 0.000
Tc 0.500 0.500 0.500
Th 0.750 0.750 0.750
Pm 0.250 0.250 0.250
CELL_PARAMETERS angstrom
5.122 0.000 0.000
2.561 4.436 0.000
2.561 1.479 4.182
! Calculated formation energy, kJ per mole of atoms: -25.9
! Density of states at the Fermi level, states/eV/f.u.: 3.2
! E, eV/f.u.: -26.9

[8]
! NdTmNiPt, optimized geometry, DFT PBE-GGA; values from VASP
&SYSTEM
  ibrav = 0, nat = 4, ntyp = 4
/
ATOMIC_SPECIES
Ni 58.69 Ni.upf
Tm 168.93 Tm.upf
Nd 144.24 Nd.upf
Pt 195.08 Pt.upf
ATOMIC_POSITIONS crystal
Ni 0.250 0.250 0.250
Tm 0.000 0.000 0.000
Nd 0.500 0.500 0.500
Pt 0.750 0.750 0.750
CELL_PARAMETERS angstrom
4.930 0.000 0.000
2.465 4.269 0.000
2.465 1.423 4.025
! Calculated formation energy, kJ per mole of atoms: -70.4
! Polymorph energy (0 for the lowest one), kJ/mol of atoms: 7.9
! Density of states at the Fermi level, states/eV/f.u.: 3.8
! E, eV/f.u.: -24.0

[9]
! Fe2RePt, optimized geometry, DFT PBE-GGA; values from VASP
&SYSTEM
  ibrav = 0, nat = 4, ntyp = 3
/
ATOMIC_SPECIES
Fe 55.84 Fe.upf
Pt 195.08 Pt.upf
Re 186.21 Re.upf
ATOMIC_POSITIONS crystal
Fe 0.000 0.000 0.988
Fe 0.500 0.500 0.512
Pt 0.250 0.250 0.250
Re 0.750 0.750 0.750
CELL_PARAMETERS angstrom
4.547 0.009 -0.038
3.760 2.558 -0.038
0.765 0.236 4.681
! Calculated formation energy, kJ per mole of atoms: 0.6
! Density of states at the Fermi level, states/eV/f.u.: 2.9
! E, eV/f.u.: -35.4

[10]
! Tm8Pb2Au, optimized geometry, DFT PBE-GGA; values from VASP
&SYSTEM
  ibrav = 0, nat = 11, ntyp = 3
/
ATOMIC_SPECIES
Tm 168.93 Tm.upf
Pb 207.20 Pb.upf
Au 196.97 Au.upf
ATOMIC_POSITIONS crystal
Tm 0.408 0.523 0.817
Tm 0.649 0.017 0.299
Tm 0.785 0.665 0.569
Tm 0.984 0.229 0.969
Tm 0.215 0.335 0.431
Tm 0.351 0.983 0.701
Tm 0.592 0.477 0.183
Tm 0.016 0.771 0.031
Pb 0.819 0.226 0.637
Pb 0.181 0.774 0.363
Au 0.500 0.000 0.000
CELL_PARAMETERS angstrom
4.980 0.000 0.000
0.000 6.702 0.259
-2.490 -2.483 9.220
! Calculated formation energy, kJ per mole of atoms: -28.6
! Density of states at the Fermi level, states/eV/f.u.: 10.5
! E, eV/f.u.: -49.7

[11]
! AlZn2Se, optimized geometry, DFT PBE-GGA; values from VASP
&SYSTEM
  ibrav = 0, nat = 4, ntyp = 3
/
ATOMIC_SPECIES
Zn 65.41 Zn.upf
Al 26.98 Al.upf
Se 78.96 Se.upf
ATOMIC_POSITIONS crystal
Zn 0.000 0.000 0.000
Zn 0.250 0.250 0.250
Al 0.500 0.500 0.500
Se 0.750 0.750 0.750
CELL_PARAMETERS angstrom
-1.730 -0.764 -4.336
-4.206 -2.098 -0.533
-3.710 2.498 -1.540
! Polymorph energy (0 for the lowest one), kJ/mol of atoms: 32.3
! Density of states at the Fermi level, states/eV/f.u.: 1.8
! Formation energy from raw total energies, eV per atom: 0.193
! E, eV/f.u.: -9.0

> Among the records above, which one has the highest E?

AlZn2Se

> Which of these has the highest E?

AlZn2Se